--- w ---
Here is crystalline AlSiC at its relaxed geometry from Alexandria. Energies are from PBE.

Space group: Cm

Unit cell a=8.898 b=3.332 c=6.472 alpha=90.00 beta=124.39 gamma=90.00
Element x y z (fractional)
Al: 0.000 0.000 0.000
Al: 0.245 0.000 0.564
Al: 0.500 0.500 0.000
Al: 0.745 0.500 0.564
Si: 0.047 0.500 0.574
Si: 0.283 0.500 0.124
Si: 0.547 0.000 0.574
Si: 0.783 0.000 0.124
C: 0.023 0.500 0.845
C: 0.293 0.000 0.292
C: 0.523 0.000 0.845
C: 0.793 0.500 0.292



--- x ---
Here is crystalline AlSiC at its relaxed geometry from Alexandria. Energies are from PBE.

Space group: P3m1

Unit cell a=2.994 b=2.994 c=4.312 alpha=90.00 beta=90.00 gamma=120.00
Element x y z (fractional)
Al: 0.000 0.000 0.000
Si: 0.667 0.333 0.477
C: 0.333 0.667 0.704



--- y ---
Here is crystalline AlSiC at its relaxed geometry from Alexandria. Energies are from PBE.

Space group: P2_1

Unit cell a=3.074 b=5.176 c=5.302 alpha=90.00 beta=101.60 gamma=90.00
Element x y z (fractional)
Al: 0.210 0.000 0.054
Al: 0.790 0.500 0.946
Si: 0.202 0.578 0.421
Si: 0.798 0.078 0.579
C: 0.250 0.937 0.439
C: 0.750 0.437 0.561



--- z ---
Here is crystalline AlSiC at its relaxed geometry from Alexandria. Energies are from PBE.

Space group: Pmn2_1

Unit cell a=3.088 b=5.666 c=4.840 alpha=90.00 beta=90.00 gamma=90.00
Element x y z (fractional)
Al: 0.000 0.049 0.000
Al: 0.500 0.951 0.500
Si: 0.000 0.611 0.827
Si: 0.500 0.389 0.327
C: 0.000 0.396 0.115
C: 0.500 0.604 0.615



Which structure loses on stability? x does.



--- w ---
Here is crystalline AlSiC at its relaxed geometry from Alexandria. Energies are from PBE.

Space group: Cm

Unit cell a=5.309 b=3.090 c=5.471 alpha=90.00 beta=109.68 gamma=90.00
Element x y z (fractional)
Al: 0.000 0.000 0.000
Al: 0.500 0.500 0.000
Si: 0.163 0.000 0.500
Si: 0.663 0.500 0.500
C: 0.364 0.500 0.603
C: 0.864 0.000 0.603



--- x ---
Here is crystalline AlSiC at its relaxed geometry from Alexandria. Energies are from PBE.

Space group: Cm

Unit cell a=9.241 b=3.142 c=6.666 alpha=90.00 beta=124.60 gamma=90.00
Element x y z (fractional)
Al: 0.000 0.000 0.000
Al: 0.172 0.500 0.901
Al: 0.500 0.500 0.000
Al: 0.672 0.000 0.901
Si: 0.311 0.000 0.577
Si: 0.466 0.000 0.385
Si: 0.811 0.500 0.577
Si: 0.966 0.500 0.385
C: 0.224 0.500 0.636
C: 0.414 0.500 0.210
C: 0.724 0.000 0.636
C: 0.914 0.000 0.210



Which structure loses on stability? x does.



--- w ---
Here is crystalline AlSiC2 at its relaxed geometry from Alexandria. Energies are from PBE.

Space group: I-42d

Unit cell a=4.548 b=4.548 c=8.871 alpha=90.00 beta=90.00 gamma=90.00
Element x y z (fractional)
Al: 0.000 0.000 0.000
Al: 0.000 0.500 0.250
Al: 0.500 0.000 0.750
Al: 0.500 0.500 0.500
Si: 0.000 0.000 0.500
Si: 0.000 0.500 0.750
Si: 0.500 0.000 0.250
Si: 0.500 0.500 0.000
C: 0.225 0.250 0.625
C: 0.250 0.725 0.875
C: 0.250 0.775 0.375
C: 0.275 0.250 0.125
C: 0.725 0.750 0.125
C: 0.750 0.225 0.375
C: 0.750 0.275 0.875
C: 0.775 0.750 0.625



--- x ---
Here is crystalline AlSiC2 at its relaxed geometry from Alexandria. Energies are from PBE.

Space group: Fm-3m

Unit cell a=5.346 b=5.346 c=5.346 alpha=90.00 beta=90.00 gamma=90.00
Element x y z (fractional)
Al: 0.000 0.000 0.000
Al: 0.000 0.500 0.500
Al: 0.500 0.000 0.500
Al: 0.500 0.500 0.000
Si: 0.000 0.000 0.500
Si: 0.000 0.500 0.000
Si: 0.500 0.000 0.000
Si: 0.500 0.500 0.500
C: 0.250 0.250 0.250
C: 0.250 0.250 0.750
C: 0.250 0.750 0.250
C: 0.250 0.750 0.750
C: 0.750 0.250 0.250
C: 0.750 0.250 0.750
C: 0.750 0.750 0.250
C: 0.750 0.750 0.750



Which structure loses on stability? x does.



--- w ---
Here is crystalline Y2AlSiC at its relaxed geometry from Alexandria. Energies are from PBE.

Space group: P2_1/m

Unit cell a=6.647 b=3.835 c=8.061 alpha=90.00 beta=107.18 gamma=90.00
Element x y z (fractional)
Y: 0.180 0.250 0.384
Y: 0.202 0.250 0.963
Y: 0.798 0.750 0.037
Y: 0.820 0.750 0.616
Al: 0.472 0.750 0.255
Al: 0.528 0.250 0.745
Si: 0.291 0.750 0.694
Si: 0.709 0.250 0.306
C: 0.168 0.750 0.171
C: 0.832 0.250 0.829



--- x ---
Here is crystalline Y2AlSiC at its relaxed geometry from Alexandria. Energies are from PBE.

Space group: P4/mmm

Unit cell a=4.925 b=4.925 c=3.927 alpha=90.00 beta=90.00 gamma=90.00
Element x y z (fractional)
Y: 0.000 0.500 0.000
Y: 0.500 0.000 0.000
Al: 0.000 0.000 0.500
Si: 0.500 0.500 0.500
C: 0.000 0.000 0.000



Which structure loses on stability? x does.



--- w ---
Here is crystalline SmAlC at its relaxed geometry from Alexandria. Energies are from PBE.

Space group: P3m1

Unit cell a=3.547 b=3.547 c=4.394 alpha=90.00 beta=90.00 gamma=120.00
Element x y z (fractional)
Sm: 0.000 0.000 0.000
Al: 0.667 0.333 0.500
C: 0.333 0.667 0.498



--- x ---
Here is crystalline SmAlC at its relaxed geometry from Alexandria. Energies are from PBE.

Space group: I4/mmm

Unit cell a=3.760 b=3.760 c=17.541 alpha=90.00 beta=90.00 gamma=90.00
Element x y z (fractional)
Sm: 0.000 0.000 0.180
Sm: 0.000 0.000 0.820
Sm: 0.500 0.500 0.320
Sm: 0.500 0.500 0.680
Al: 0.000 0.000 0.430
Al: 0.000 0.000 0.570
Al: 0.500 0.500 0.070
Al: 0.500 0.500 0.930
C: 0.000 0.000 0.321
C: 0.000 0.000 0.679
C: 0.500 0.500 0.179
C: 0.500 0.500 0.821



Which structure loses on stability? x does.



--- w ---
Here is crystalline AlSn3C at its relaxed geometry from Alexandria. Energies are from PBE.

Space group: Pm-3m

Unit cell a=4.773 b=4.773 c=4.773 alpha=90.00 beta=90.00 gamma=90.00
Element x y z (fractional)
Al: 0.000 0.000 0.000
Sn: 0.000 0.500 0.500
Sn: 0.500 0.000 0.500
Sn: 0.500 0.500 0.000
C: 0.500 0.500 0.500



--- x ---
Here is crystalline AlSn3C at its relaxed geometry from Alexandria. Energies are from PBE.

Space group: Pm-3m

Unit cell a=5.247 b=5.247 c=5.247 alpha=90.00 beta=90.00 gamma=90.00
Element x y z (fractional)
Al: 0.000 0.000 0.000
Sn: 0.000 0.000 0.500
Sn: 0.000 0.500 0.000
Sn: 0.500 0.000 0.000
C: 0.500 0.500 0.500



Which structure loses on stability? x does.